Below is a relaxed structure of LiAs2H, with properties calculated at the PBE-GGA level.

Properties
Energy above the most stable polymorph in this dataset   0.0 kJ/mol of atoms
Energy   -3.446 eV per atom

Cell: 4.056 4.056 15.661 Å, 90.00 90.00 90.00°
Space group I-42d (No. 122)
One atom of each set of equivalent atoms:
1 Li 0.000 0.000 0.000 x4
2 As 0.186 0.250 0.625 x8
3 H 0.000 0.000 0.500 x4

=====

Below is a relaxed structure of Zn2CrRe, with properties calculated at the PBE-GGA level.

Properties
Energy above the most stable polymorph in this dataset   30.1 kJ/mol of atoms
Energy   -5.732 eV per atom
DFT formation energy   0.422 eV per atom

Cell: 4.504 4.504 2.841 Å, 90.00 90.00 90.00°
Space group P4/mmm (No. 123)
One atom of each set of equivalent atoms:
1 Zn 0.000 0.500 0.000 x2
2 Cr 0.000 0.000 0.500 x1
3 Re 0.500 0.500 0.500 x1

=====

Below is a relaxed structure of PH3F8, with properties calculated at the PBE-GGA level.

Properties
Energy   -3.983 eV per atom

Cell: 5.5081 5.5081 8.2508 Å, 90.00 90.00 120.00°
Space group P6_3mc (No. 186)
One atom of each set of equivalent atoms:
1 P 0.3333 0.6667 0.0000 x2
2 H 0.1186 0.2372 0.5362 x6
3 F 0.0000 0.0000 0.4783 x2
4 F 0.0562 0.5281 0.8924 x6
5 F 0.1956 0.3913 0.1266 x6
6 F 0.3333 0.6667 0.5870 x2

=====

Below is a relaxed structure of LaNd2Ni2Ge2, with properties calculated at the PBE-GGA level.

Properties
Energy   -5.645 eV per atom
DFT formation energy   -0.607 eV per atom

Cell: 4.3020 4.3020 30.3657 Å, 90.00 90.00 120.00°
Space group R-3m (No. 166, hexagonal axes)
One atom of each set of equivalent atoms:
1 La 0.0000 0.0000 0.0000 x3
2 Nd 0.0000 0.0000 0.1221 x6
3 Ni 0.0000 0.0000 0.3984 x6
4 Ge 0.0000 0.0000 0.2646 x6

=====

Among the records above, which one has the highest energy? LiAs2H